Ge2MoBrF | PBE+U | relaxed

Structure (CIF):
```
data_Ge2MoBrF
_symmetry_space_group_name_H-M 'P 4/m m m'
_symmetry_Int_Tables_number 123
_symmetry_space_group_name_Hall '-P 4 2'
_cell_length_a 5.037
_cell_length_b 5.037
_cell_length_c 5.105
_cell_angle_alpha 90.00
_cell_angle_beta 90.00
_cell_angle_gamma 90.00
loop_
_atom_site_label
_atom_site_fract_x
_atom_site_fract_y
_atom_site_fract_z
_atom_site_occupancy
Ge1 0.000 0.500 0.000 1
Mo1 0.000 0.000 0.000 1
Br1 0.000 0.000 0.500 1
F1 0.500 0.500 0.500 1
```

Values from the calculation:
Energy in eV per atom: -3.7363
M_tot in μB/f.u.: 1.9
Calculated density in g cm⁻³: 4.4